[1]
Material: SmPu3Th4S8
Method: DFT, GGA-PBE
State: optimized geometry

Results
Total magnetic moment = 16.04 μB per formula unit
SG = R-3m
E_tot = -8.752 eV per atom
Mass density = 9.5 g/cm3

POSCAR file:
```
SmPu3Th4S8
1.0
3.9746 2.2947 6.6143
-3.9746 2.2947 6.6143
0.0000 -4.5895 6.6143
Sm Pu Th S
1 3 4 8
direct
0.0000 0.0000 0.0000
0.0000 0.5000 0.5000
0.5000 0.0000 0.5000
0.5000 0.5000 0.0000
0.0000 0.0000 0.5000
0.0000 0.5000 0.0000
0.5000 0.0000 0.0000
0.5000 0.5000 0.5000
0.2482 0.2482 0.7443
0.2482 0.7443 0.2482
0.2542 0.2542 0.2542
0.2557 0.7518 0.7518
0.7443 0.2482 0.2482
0.7458 0.7458 0.7458
0.7518 0.2557 0.7518
0.7518 0.7518 0.2557
```

[2]
Material: Sm2PuTl3S6
Method: DFT, GGA-PBE
State: optimized geometry

Results
Total magnetic moment = 5.00 μB per formula unit
SG = C2/m
E_tot = -6.003 eV per atom
Mass density = 6.8 g/cm3

POSCAR file:
```
Sm2PuTl3S6
1.0
3.5698 -6.1830 0.0000
3.5698 6.1830 0.0000
-2.3800 0.0000 7.4776
Sm Pu Tl S
2 1 3 6
direct
0.1667 0.8333 0.0000
0.8333 0.1667 0.0000
0.5000 0.5000 0.0000
0.0000 0.0000 0.5000
0.3327 0.6673 0.5000
0.6673 0.3327 0.5000
0.1030 0.4333 0.7998
0.2367 0.2367 0.2011
0.4333 0.1030 0.7998
0.5667 0.8970 0.2002
0.7633 0.7633 0.7989
0.8970 0.5667 0.2002
```

Question: The highest total magnetic moment belongs to which entry?
Answer: SmPu3Th4S8

Question: What is the E_tot in the first record?
Answer: -8.752 eV per atom

Question: Which formula does entry 1 have?
Answer: SmPu3Th4S8

Copy entry 2 word for word.
Material: Sm2PuTl3S6
Method: DFT, GGA-PBE
State: optimized geometry

Results
Total magnetic moment = 5.00 μB per formula unit
SG = C2/m
E_tot = -6.003 eV per atom
Mass density = 6.8 g/cm3

POSCAR file:
```
Sm2PuTl3S6
1.0
3.5698 -6.1830 0.0000
3.5698 6.1830 0.0000
-2.3800 0.0000 7.4776
Sm Pu Tl S
2 1 3 6
direct
0.1667 0.8333 0.0000
0.8333 0.1667 0.0000
0.5000 0.5000 0.0000
0.0000 0.0000 0.5000
0.3327 0.6673 0.5000
0.6673 0.3327 0.5000
0.1030 0.4333 0.7998
0.2367 0.2367 0.2011
0.4333 0.1030 0.7998
0.5667 0.8970 0.2002
0.7633 0.7633 0.7989
0.8970 0.5667 0.2002
```